# 1
This record from Alexandria via LeMat-Bulk describes a crystal of MgCu2Ru relaxed with PBEsol. The functional is meta-GGA SCAN.

Values from the calculation:
spin magnetization = 0.00 μB/cell
crystal system = orthorhombic
E_tot = -17.422 eV per atom
Fermi-level density of states = 2.76 states/eV per cell
energy of formation from the pure elements = 0.13 eV per atom

Lattice parameters (Å, degrees): 2.596 3.853 5.304 90.00 90.00 90.00
Space group Pmmm (No. 47)
Asymmetric unit:
Mg1 0.000 0.000 0.000 (multiplicity 1)
Cu1 0.500 0.500 0.266 (multiplicity 2)
Ru1 0.000 0.000 0.500 (multiplicity 1)

---

# 2
This record from Alexandria via LeMat-Bulk describes a crystal of LiZrCr relaxed with PBEsol. The functional is meta-GGA SCAN.

Values from the calculation:
spin magnetization = 11.04 μB/cell
crystal system = orthorhombic
E_tot = -16.628 eV per atom
excess energy over the best structure of this formula in the dataset = 279 meV/atom
Fermi-level density of states = 13.38 states/eV per cell
energy of formation from the pure elements = 0.53 eV per atom

Lattice parameters (Å, degrees): 3.204 4.560 13.750 90.00 90.00 90.00
Space group Fmm2 (No. 42)
Asymmetric unit:
Li1 0.000 0.000 0.000 (multiplicity 4)
Zr1 0.000 0.000 0.699 (multiplicity 4)
Cr1 0.000 0.000 0.343 (multiplicity 4)

---

# 3
This record from Alexandria via LeMat-Bulk describes a crystal of NaTiF4 relaxed with PBEsol. The functional is meta-GGA SCAN.

Values from the calculation:
spin magnetization = 4.00 μB/cell
crystal system = monoclinic
E_tot = -9.118 eV per atom
Fermi-level density of states = 0.86 states/eV per cell
formation energy without anion corrections = -3383.6 meV per atom

Lattice parameters (Å, degrees): 8.127 5.467 7.737 90.00 103.51 90.00
Space group P2_1/c (No. 14)
Asymmetric unit:
Na1 0.103 0.240 0.400 (multiplicity 4)
Ti1 0.323 0.748 0.205 (multiplicity 4)
F1 0.142 0.507 0.177 (multiplicity 4)
F2 0.151 0.503 0.644 (multiplicity 4)
F3 0.322 0.697 0.955 (multiplicity 4)
F4 0.495 0.009 0.774 (multiplicity 4)

---

> What is the Fermi-level density of states in the second record?

13.38 states/eV per cell

---

> Number 2 is which compound?

LiZrCr

---

> Which formula does entry 3 have?

NaTiF4

---

> Which formula does entry 3 have?

NaTiF4